Record 1
# SmAgO2 | OQMD via LeMat-Bulk | PBE | optimized geometry
# ρ = 6.817 Mg/m³
# E = -52.4 eV/cell
data_SmAgO2
_chemical_formula_sum 'Sm2 Ag2 O4'
_cell_length_a 3.6155
_cell_length_b 3.6155
_cell_length_c 12.4891
_cell_angle_alpha 90.00
_cell_angle_beta 90.00
_cell_angle_gamma 120.00
_symmetry_space_group_name_H-M 'P 63/m m c'
_symmetry_Int_Tables_number 194
_symmetry_space_group_name_Hall '-P 6c 2c'
loop_
_atom_site_label
_atom_site_fract_x
_atom_site_fract_y
_atom_site_fract_z
_atom_site_occupancy
Sm1 0.0000 0.0000 0.0000 1
Ag1 0.3333 0.6667 0.2500 1
O1 0.3333 0.6667 0.0849 1

---

Record 2
# Nb2AlOs | OQMD via LeMat-Bulk | PBE | optimized geometry
# ρ = 10.321 Mg/m³
# E = -143.2 eV/cell
data_Nb2AlOs
_chemical_formula_sum 'Nb8 Al4 Os4'
_cell_length_a 6.377
_cell_length_b 6.377
_cell_length_c 6.377
_cell_angle_alpha 90.00
_cell_angle_beta 90.00
_cell_angle_gamma 90.00
_symmetry_space_group_name_H-M 'F -4 3 m'
_symmetry_Int_Tables_number 216
_symmetry_space_group_name_Hall 'F -4 2 3'
loop_
_atom_site_label
_atom_site_fract_x
_atom_site_fract_y
_atom_site_fract_z
_atom_site_occupancy
Nb1 0.000 0.000 0.000 1
Nb2 0.250 0.250 0.250 1
Al1 0.000 0.000 0.500 1
Os1 0.250 0.250 0.750 1